No. 1
This record from Alexandria describes crystalline AlAsSe2 at its relaxed geometry. The functional is PBEsol.

Geometry as POSCAR:
```
AlAsSe2
1.0
3.3097 0.0000 0.0000
0.0000 3.3097 0.0000
0.0000 0.0000 6.6461
Al As Se
1 1 2
Direct
0.0000 0.0000 0.0000 Al
0.0000 0.0000 0.5000 As
0.5000 0.5000 0.2363 Se
0.5000 0.5000 0.7637 Se
```

Values from the calculation:
- E_form (uncorrected) (kJ per mole of atoms) = 7.2
- density (Mg/m³) = 5.9
- magnetization (Bohr magnetons per cell) = 0.000



No. 2
This record from Alexandria describes crystalline ScZn5 at its relaxed geometry. The functional is PBEsol.

Geometry as POSCAR:
```
ScZn5
1.0
2.0049 -5.5504 0.0000
2.0049 5.5504 0.0000
0.0000 0.0000 4.1109
Sc Zn
1 5
Direct
0.0000 0.0000 0.0000 Sc
0.1680 0.8320 0.5000 Zn
0.3213 0.6787 0.0000 Zn
0.5000 0.5000 0.5000 Zn
0.6787 0.3213 0.0000 Zn
0.8320 0.1680 0.5000 Zn
```

Values from the calculation:
- energy of formation from the pure elements (meV per atom) = -199
- density (Mg/m³) = 6.8
- magnetization (Bohr magnetons per cell) = 0.000



No. 3
This record from Alexandria describes crystalline Zr2PbW at its relaxed geometry. The functional is PBEsol.

Geometry as POSCAR:
```
Zr2PbW
1.0
1.7616 -2.5539 0.0000
1.7616 2.5539 0.0000
0.0000 0.0000 9.2245
Zr Pb W
2 1 1
Direct
0.0000 0.0000 0.2258 Zr
0.0000 0.0000 0.7742 Zr
0.5000 0.5000 0.5000 Pb
0.5000 0.5000 0.0000 W
```

Values from the calculation:
- energy of formation from the pure elements (meV per atom) = 49
- density (Mg/m³) = 11.5
- magnetization (Bohr magnetons per cell) = 0.000



No. 4
This record from Alexandria describes crystalline ZrNiIr at its relaxed geometry. The functional is PBEsol.

Geometry as POSCAR:
```
ZrNiIr
1.0
0.0000 2.9932 2.9932
2.9932 0.0000 2.9932
2.9932 2.9932 0.0000
Zr Ni Ir
1 1 1
Direct
0.0000 0.0000 0.0000 Zr
0.2500 0.2500 0.2500 Ni
0.7500 0.7500 0.7500 Ir
```

Values from the calculation:
- energy of formation from the pure elements (meV per atom) = 90
- density (Mg/m³) = 10.6
- magnetization (Bohr magnetons per cell) = 0.000